DFT (PBE) results for a relaxed SrSnS3 crystal.

As for the magnetization: 0.000 μB per atom. For the volume, the calculation gives 627.8 Å³/cell. Its formation energy without anion corrections is -98 kJ per mole of atoms.

The space group is Pnma (No. 62) and the conventional cell measures 6.6161, 10.8252 and 8.7651 Å, with angles of 90.00, 90.00 and 90.00 degrees. The asymmetric unit holds Sr at (0.0000, 0.0000, 0.0000), Sn at (0.1451, 0.2500, 0.3365), S at (0.1398, 0.5916, 0.6863) and S at (0.1813, 0.7500, 0.0744).

---

DFT (PBE) results for a relaxed Sr2TlSnS4 crystal.

As for the magnetization: 0.000 μB per atom. The value obtained for the density of states at the Fermi level is 23.36 states/eV per cell. For the volume, the calculation gives 865.4 Å³/cell. Its formation energy without anion corrections is -110 kJ per mole of atoms.

The space group is Imma (No. 74) and the conventional cell measures 8.4710, 8.5028 and 12.0143 Å, with angles of 90.00, 90.00 and 90.00 degrees. The asymmetric unit holds Sr at (0.0000, 0.0000, 0.0000), Sr at (0.2500, 0.2500, 0.2500), Tl at (0.0000, 0.0000, 0.5000), Sn at (0.2500, 0.2500, 0.7500), S at (0.0000, 0.0021, 0.7525) and S at (0.2468, 0.2500, 0.9984).

---

DFT (PBE) results for a relaxed Sr2TmSnS5 crystal.

As for the magnetization: 0.000 μB per atom. The value obtained for the density of states at the Fermi level is 9.19 states/eV per cell. For the volume, the calculation gives 904.8 Å³/cell. Its formation energy without anion corrections is -153 kJ per mole of atoms.

The space group is Cmc2_1 (No. 36) and the conventional cell measures 4.1208, 17.2354 and 12.7392 Å, with angles of 90.00, 90.00 and 90.00 degrees. The asymmetric unit holds Sr at (0.0000, 0.1088, 0.0000), Sr at (0.0000, 0.1393, 0.6269), Tm at (0.0000, 0.2148, 0.3417), Sn at (0.0000, 0.4643, 0.7733), S at (0.0000, 0.0567, 0.3913), S at (0.0000, 0.2804, 0.9823), S at (0.0000, 0.3153, 0.7015), S at (0.0000, 0.3672, 0.3188) and S at (0.0000, 0.4916, 0.0846).